RbBa2As2S6: relaxed, PBE-GGA.

```
11
Lattice="6.443 0.000 0.000 2.383 6.056 0.000 0.224 0.145 9.072" Properties=species:S:1:pos:R:3 pbc="T T T"
Rb 0.000 0.000 0.000
Ba 3.195 2.180 5.792
Ba 5.855 4.021 3.280
As 2.732 1.717 1.965
As 6.318 4.484 7.108
S 2.584 3.756 2.944
S 4.461 5.232 6.038
S 3.619 2.260 8.937
S 5.431 3.942 0.135
S 4.589 0.969 3.034
S 6.466 2.445 6.128
```

Computed properties:
**E_form (uncorrected)**: -1055 kJ/mol of formula units
**Volume**: 354.0 Å³/f.u.
**M_tot**: 0.094 μB/atom

LiYPu2Se4: relaxed, PBE-GGA.

```
8
Lattice="7.078 0.000 0.000 0.000 4.115 0.000 -2.435 0.000 6.725" Properties=species:S:1:pos:R:3 pbc="T T T"
Li 0.000 0.000 0.000
Y -1.218 2.058 3.363
Pu 2.321 0.000 3.363
Pu 3.539 2.058 0.000
Se 1.097 2.058 1.652
Se -0.118 0.000 5.060
Se 4.760 0.000 1.666
Se 3.545 2.058 5.073
```

Computed properties:
**E_form (uncorrected)**: -1194 kJ/mol of formula units
**Volume**: 195.9 Å³/f.u.
**M_tot**: 0.013 μB/atom

VAsSe2N: relaxed, PBE-GGA.

```
5
Lattice="4.990 0.000 0.000 0.000 4.990 0.000 0.000 0.000 3.611" Properties=species:S:1:pos:R:3 pbc="T T T"
V 0.000 0.000 0.000
As 2.495 2.495 1.806
Se 0.000 2.495 0.000
Se 2.495 0.000 0.000
N 0.000 0.000 1.806
```

Computed properties:
**Energy relative to the lowest polymorph listed for this composition**: 0 kJ/mol of formula units
**E_form (uncorrected)**: 84 kJ/mol of formula units
**Volume**: 89.9 Å³/f.u.
**M_tot**: 0.000 μB/atom

TaAg2Au: relaxed, PBE-GGA.

```
16
Lattice="6.545 0.000 0.000 0.000 6.545 0.000 0.000 0.000 6.545" Properties=species:S:1:pos:R:3 pbc="T T T"
Ta 0.000 0.000 0.000
Ta 0.000 3.272 3.272
Ta 3.272 0.000 3.272
Ta 3.272 3.272 0.000
Ag 1.636 1.636 1.636
Ag 1.636 1.636 4.909
Ag 1.636 4.909 1.636
Ag 1.636 4.909 4.909
Ag 4.909 1.636 1.636
Ag 4.909 1.636 4.909
Ag 4.909 4.909 1.636
Ag 4.909 4.909 4.909
Au 0.000 0.000 3.272
Au 0.000 3.272 0.000
Au 3.272 0.000 0.000
Au 3.272 3.272 3.272
```

Computed properties:
**ΔH_f (0 K)**: 372 meV per atom
**Energy relative to the lowest polymorph listed for this composition**: 108 kJ/mol of formula units
**Volume**: 70.1 Å³/f.u.
**M_tot**: 0.000 μB/atom

Tl2PtCl: relaxed, PBE-GGA.

```
16
Lattice="6.483 0.000 0.000 0.000 6.483 0.000 0.000 0.000 13.724" Properties=species:S:1:pos:R:3 pbc="T T T"
Tl 1.281 1.621 1.716
Tl 1.621 4.522 5.147
Tl 1.621 5.202 12.009
Tl 1.960 1.621 8.578
Tl 4.522 4.862 8.578
Tl 4.862 1.281 12.009
Tl 4.862 1.960 5.147
Tl 5.202 4.862 1.716
Pt 0.000 0.000 0.000
Pt 0.000 3.241 3.431
Pt 3.241 0.000 10.293
Pt 3.241 3.241 6.862
Cl 0.000 0.000 6.862
Cl 0.000 3.241 10.293
Cl 3.241 0.000 3.431
Cl 3.241 3.241 0.000
```

Computed properties:
**Energy relative to the lowest polymorph listed for this composition**: 50 kJ/mol of formula units
**E_form (uncorrected)**: -76 kJ/mol of formula units
**Volume**: 144.2 Å³/f.u.
**M_tot**: 0.000 μB/atom

NaAc4Sn5: relaxed, PBE-GGA.

```
10
Lattice="3.921 0.000 0.000 0.000 3.921 0.000 0.000 0.000 21.073" Properties=species:S:1:pos:R:3 pbc="T T T"
Na 0.000 0.000 0.000
Ac 0.000 0.000 3.855
Ac 0.000 0.000 8.305
Ac 0.000 0.000 12.768
Ac 0.000 0.000 17.217
Sn 1.961 1.961 1.609
Sn 1.961 1.961 6.056
Sn 1.961 1.961 10.536
Sn 1.961 1.961 15.016
Sn 1.961 1.961 19.464
```

Computed properties:
**ΔH_f (0 K)**: -510 meV per atom
**Volume**: 324.0 Å³/f.u.
**M_tot**: 0.000 μB/atom